{"formula": "BeMoS2N", "functional": "meta-GGA SCAN", "state": "single point on PBEsol structure", "formation_energy_uncorrected_ev_per_fu": 2.7, "total_magnetization_mub_per_cell": 0.548, "lattice": [[-1.776, -2.520, 0.135], [3.334, -2.250, 1.867], [-1.427, 1.220, 4.017]], "species": ["Be", "Mo", "S", "S", "N"], "frac_coords": [[0.000, 0.000, 0.000], [0.500, 0.500, 0.500], [0.000, 0.000, 0.500], [0.000, 0.500, 0.000], [0.500, 0.000, 0.000]]}